(1)
TbPd2Pt3: relaxed, PBE.

Cell and atoms, written as CIF:
```
data_TbPd2Pt3
_chemical_formula_sum 'Tb4 Pd8 Pt12'
_symmetry_space_group_name_H-M 'C m c m'
_symmetry_Int_Tables_number 63
_symmetry_space_group_name_Hall '-C 2c 2'
_cell_length_a 5.7136
_cell_length_b 14.0456
_cell_length_c 5.2811
_cell_angle_alpha 90.00
_cell_angle_beta 90.00
_cell_angle_gamma 90.00
loop_
_atom_site_label
_atom_site_type_symbol
_atom_site_fract_x
_atom_site_fract_y
_atom_site_fract_z
Tb1 Tb 0.0000 0.1564 0.2500
Pd1 Pd 0.2349 0.5000 0.0000
Pt1 Pt 0.0000 0.3399 0.7500
Pt2 Pt 0.2472 0.1692 0.7500
```

Values from the calculation:
raw total energy	-5.972	eV per atom
ΔH_f (0 K)	-0.449	eV/atom

(2)
Tb3Pd2Pt3: relaxed, PBE.

Cell and atoms, written as CIF:
```
data_Tb3Pd2Pt3
_chemical_formula_sum 'Tb6 Pd4 Pt6'
_symmetry_space_group_name_H-M 'P 63/m c m'
_symmetry_Int_Tables_number 193
_symmetry_space_group_name_Hall '-P 6c 2'
_cell_length_a 8.3734
_cell_length_b 8.3734
_cell_length_c 5.6914
_cell_angle_alpha 90.00
_cell_angle_beta 90.00
_cell_angle_gamma 120.00
loop_
_atom_site_label
_atom_site_type_symbol
_atom_site_fract_x
_atom_site_fract_y
_atom_site_fract_z
Tb1 Tb 0.0000 0.3059 0.2500
Pd1 Pd 0.3333 0.6667 0.0000
Pt1 Pt 0.0000 0.3649 0.7500
```

Values from the calculation:
raw total energy	-6.256	eV per atom
ΔH_f (0 K)	-0.957	eV/atom

(3)
Tb2Pd2Pt15: relaxed, PBE.

Cell and atoms, written as CIF:
```
data_Tb2Pd2Pt15
_chemical_formula_sum 'Tb6 Pd6 Pt45'
_symmetry_space_group_name_H-M 'R -3 m'
_symmetry_Int_Tables_number 166
_symmetry_space_group_name_Hall '-R 3 2"'
_cell_length_a 9.2689
_cell_length_b 9.2689
_cell_length_c 13.3755
_cell_angle_alpha 90.00
_cell_angle_beta 90.00
_cell_angle_gamma 120.00
loop_
_atom_site_label
_atom_site_type_symbol
_atom_site_fract_x
_atom_site_fract_y
_atom_site_fract_z
Tb1 Tb 0.0000 0.0000 0.1645
Pd1 Pd 0.0000 0.0000 0.3945
Pt1 Pt 0.0000 0.3140 0.5000
Pt2 Pt 0.0000 0.5000 0.0000
Pt3 Pt 0.0060 0.5030 0.6580
```

Values from the calculation:
raw total energy	-6.234	eV per atom
ΔH_f (0 K)	-0.431	eV/atom

(4)
Tb2PdPt9: relaxed, PBE.

Cell and atoms, written as CIF:
```
data_Tb2PdPt9
_chemical_formula_sum 'Tb2 Pd1 Pt9'
_symmetry_space_group_name_H-M 'P 4/m m m'
_symmetry_Int_Tables_number 123
_symmetry_space_group_name_Hall '-P 4 2'
_cell_length_a 4.0709
_cell_length_b 4.0709
_cell_length_c 12.2762
_cell_angle_alpha 90.00
_cell_angle_beta 90.00
_cell_angle_gamma 90.00
loop_
_atom_site_label
_atom_site_type_symbol
_atom_site_fract_x
_atom_site_fract_y
_atom_site_fract_z
Tb1 Tb 0.0000 0.0000 0.1704
Pd1 Pd 0.0000 0.0000 0.5000
Pt1 Pt 0.0000 0.5000 0.0000
Pt2 Pt 0.0000 0.5000 0.3411
Pt3 Pt 0.5000 0.5000 0.1705
Pt4 Pt 0.5000 0.5000 0.5000
```

Values from the calculation:
raw total energy	-6.393	eV per atom
ΔH_f (0 K)	-0.658	eV/atom
energy above the most stable polymorph in this dataset	0.00	eV per formula unit

(5)
Tb2PdPt9: relaxed, PBE.

Cell and atoms, written as CIF:
```
data_Tb2PdPt9
_chemical_formula_sum 'Tb6 Pd3 Pt27'
_symmetry_space_group_name_H-M 'R -3 m'
_symmetry_Int_Tables_number 166
_symmetry_space_group_name_Hall '-R 3 2"'
_cell_length_a 5.3752
_cell_length_b 5.3752
_cell_length_c 26.3820
_cell_angle_alpha 90.00
_cell_angle_beta 90.00
_cell_angle_gamma 120.00
loop_
_atom_site_label
_atom_site_type_symbol
_atom_site_fract_x
_atom_site_fract_y
_atom_site_fract_z
Tb1 Tb 0.0000 0.0000 0.1338
Pd1 Pd 0.0000 0.0000 0.0000
Pt1 Pt 0.0000 0.0000 0.3326
Pt2 Pt 0.0000 0.0000 0.5000
Pt3 Pt 0.0043 0.5021 0.9149
```

Values from the calculation:
raw total energy	-6.320	eV per atom
ΔH_f (0 K)	-0.585	eV/atom
energy above the most stable polymorph in this dataset	0.87	eV per formula unit

(6)
Tb4Pd12Pt: relaxed, PBE.

Cell and atoms, written as CIF:
```
data_Tb4Pd12Pt
_chemical_formula_sum 'Tb8 Pd24 Pt2'
_symmetry_space_group_name_H-M 'I m -3 m'
_symmetry_Int_Tables_number 229
_symmetry_space_group_name_Hall '-I 4 2 3'
_cell_length_a 8.5367
_cell_length_b 8.5367
_cell_length_c 8.5367
_cell_angle_alpha 90.00
_cell_angle_beta 90.00
_cell_angle_gamma 90.00
loop_
_atom_site_label
_atom_site_type_symbol
_atom_site_fract_x
_atom_site_fract_y
_atom_site_fract_z
Tb1 Tb 0.2500 0.2500 0.2500
Pd1 Pd 0.0000 0.0000 0.3014
Pd2 Pd 0.0000 0.2500 0.5000
Pt1 Pt 0.0000 0.0000 0.0000
```

Values from the calculation:
raw total energy	-5.873	eV per atom
ΔH_f (0 K)	-0.763	eV/atom

(7)
Tb2Pd9Pt: relaxed, PBE.

Cell and atoms, written as CIF:
```
data_Tb2Pd9Pt
_chemical_formula_sum 'Tb2 Pd9 Pt1'
_symmetry_space_group_name_H-M 'P 4/m m m'
_symmetry_Int_Tables_number 123
_symmetry_space_group_name_Hall '-P 4 2'
_cell_length_a 4.0740
_cell_length_b 4.0740
_cell_length_c 12.2205
_cell_angle_alpha 90.00
_cell_angle_beta 90.00
_cell_angle_gamma 90.00
loop_
_atom_site_label
_atom_site_type_symbol
_atom_site_fract_x
_atom_site_fract_y
_atom_site_fract_z
Tb1 Tb 0.0000 0.0000 0.1715
Pd1 Pd 0.0000 0.5000 0.0000
Pd2 Pd 0.0000 0.5000 0.3421
Pd3 Pd 0.5000 0.5000 0.1714
Pd4 Pd 0.5000 0.5000 0.5000
Pt1 Pt 0.0000 0.0000 0.5000
```

Values from the calculation:
raw total energy	-5.742	eV per atom
ΔH_f (0 K)	-0.572	eV/atom

(8)
Tb2PdPt2: relaxed, PBE.

Cell and atoms, written as CIF:
```
data_Tb2PdPt2
_chemical_formula_sum 'Tb4 Pd2 Pt4'
_symmetry_space_group_name_H-M 'I m m m'
_symmetry_Int_Tables_number 71
_symmetry_space_group_name_Hall '-I 2 2'
_cell_length_a 4.0479
_cell_length_b 6.6455
_cell_length_c 7.8450
_cell_angle_alpha 90.00
_cell_angle_beta 90.00
_cell_angle_gamma 90.00
loop_
_atom_site_label
_atom_site_type_symbol
_atom_site_fract_x
_atom_site_fract_y
_atom_site_fract_z
Tb1 Tb 0.0000 0.0000 0.2219
Pd1 Pd 0.0000 0.5000 0.0000
Pt1 Pt 0.0000 0.2963 0.5000
```

Values from the calculation:
raw total energy	-6.406	eV per atom
ΔH_f (0 K)	-1.099	eV/atom
energy above the most stable polymorph in this dataset	0.00	eV per formula unit

(9)
Tb2Pd15Pt2: relaxed, PBE.

Cell and atoms, written as CIF:
```
data_Tb2Pd15Pt2
_chemical_formula_sum 'Tb6 Pd45 Pt6'
_symmetry_space_group_name_H-M 'R -3 m'
_symmetry_Int_Tables_number 166
_symmetry_space_group_name_Hall '-R 3 2"'
_cell_length_a 9.1215
_cell_length_b 9.1215
_cell_length_c 13.5995
_cell_angle_alpha 90.00
_cell_angle_beta 90.00
_cell_angle_gamma 120.00
loop_
_atom_site_label
_atom_site_type_symbol
_atom_site_fract_x
_atom_site_fract_y
_atom_site_fract_z
Tb1 Tb 0.0000 0.0000 0.1748
Pd1 Pd 0.0000 0.3047 0.5000
Pd2 Pd 0.0000 0.5000 0.0000
Pd3 Pd 0.0060 0.5030 0.6533
Pt1 Pt 0.0000 0.0000 0.3980
```

Values from the calculation:
raw total energy	-5.520	eV per atom
ΔH_f (0 K)	-0.297	eV/atom

(10)
Tb2Pd6Pt: relaxed, PBE.

Cell and atoms, written as CIF:
```
data_Tb2Pd6Pt
_chemical_formula_sum 'Tb8 Pd24 Pt4'
_symmetry_space_group_name_H-M 'F m m m'
_symmetry_Int_Tables_number 69
_symmetry_space_group_name_Hall '-F 2 2'
_cell_length_a 4.2459
_cell_length_b 11.6752
_cell_length_c 12.8706
_cell_angle_alpha 90.00
_cell_angle_beta 90.00
_cell_angle_gamma 90.00
loop_
_atom_site_label
_atom_site_type_symbol
_atom_site_fract_x
_atom_site_fract_y
_atom_site_fract_z
Tb1 Tb 0.0000 0.0000 0.1481
Pd1 Pd 0.0000 0.1678 0.3306
Pd2 Pd 0.0000 0.1760 0.0000
Pt1 Pt 0.0000 0.0000 0.5000
```

Values from the calculation:
raw total energy	-5.824	eV per atom
ΔH_f (0 K)	-0.662	eV/atom

(11)
TbPd7Pt4: relaxed, PBE.

Cell and atoms, written as CIF:
```
data_TbPd7Pt4
_chemical_formula_sum 'Tb2 Pd14 Pt8'
_symmetry_space_group_name_H-M 'C 1 2/m 1'
_symmetry_Int_Tables_number 12
_symmetry_space_group_name_Hall '-C 2y'
_cell_length_a 10.1849
_cell_length_b 4.9340
_cell_length_c 9.7165
_cell_angle_alpha 90.00
_cell_angle_beta 120.72
_cell_angle_gamma 90.00
loop_
_atom_site_label
_atom_site_type_symbol
_atom_site_fract_x
_atom_site_fract_y
_atom_site_fract_z
Tb1 Tb 0.0000 0.0000 0.0000
Pd1 Pd 0.0000 0.5000 0.0000
Pd2 Pd 0.1084 0.0000 0.4484
Pd3 Pd 0.1545 0.5000 0.6213
Pd4 Pd 0.2070 0.5000 0.9168
Pt1 Pt 0.0922 0.5000 0.3170
Pt2 Pt 0.1931 0.0000 0.7689
```

Values from the calculation:
raw total energy	-5.473	eV per atom
ΔH_f (0 K)	-0.045	eV/atom

(12)
TbPd2Pt6: relaxed, PBE.

Cell and atoms, written as CIF:
```
data_TbPd2Pt6
_chemical_formula_sum 'Tb2 Pd4 Pt12'
_symmetry_space_group_name_H-M 'C 1 2/m 1'
_symmetry_Int_Tables_number 12
_symmetry_space_group_name_Hall '-C 2y'
_cell_length_a 6.3706
_cell_length_b 12.6847
_cell_length_c 4.0101
_cell_angle_alpha 90.00
_cell_angle_beta 108.16
_cell_angle_gamma 90.00
loop_
_atom_site_label
_atom_site_type_symbol
_atom_site_fract_x
_atom_site_fract_y
_atom_site_fract_z
Tb1 Tb 0.0000 0.0000 0.0000
Pd1 Pd 0.0000 0.1599 0.5000
Pt1 Pt 0.1582 0.3403 0.8377
Pt2 Pt 0.1617 0.5000 0.3332
```

Values from the calculation:
raw total energy	-6.006	eV per atom
ΔH_f (0 K)	-0.311	eV/atom